# Rb2CrBiBr6, relaxed, DFT PBE
# D(E_F): 0.138 states/eV per atom
# Formation energy without anion corrections: -1.030 eV/atom
# Symmetry: I4/mmm (139)
data_Rb2CrBiBr6
_chemical_formula_sum 'Rb2 Cr1 Bi1 Br6'
_space_group_name_H-M_alt 'P 1'
_space_group_IT_number 1
_cell_length_a 7.9531
_cell_length_b 7.9531
_cell_length_c 7.9665
_cell_angle_alpha 60.06
_cell_angle_beta 60.06
_cell_angle_gamma 90.00
loop_
_space_group_symop_operation_xyz
'x,y,z'
loop_
_atom_site_label
_atom_site_type_symbol
_atom_site_fract_x
_atom_site_fract_y
_atom_site_fract_z
Br1 Br 0.7385 0.7385 0.0000
Br2 Br 0.7393 0.7393 0.5214
Br3 Br 0.7385 0.2615 0.0000
Br4 Br 0.2607 0.2607 0.4786
Br5 Br 0.2615 0.7385 0.0000
Br6 Br 0.2615 0.2615 0.0000
Bi1 Bi 0.0000 0.0000 0.0000
Cr1 Cr 0.5000 0.5000 0.0000
Rb1 Rb 0.7500 0.2500 0.5000
Rb2 Rb 0.2500 0.7500 0.5000

---

# Pr4NdZn5, relaxed, DFT PBE
# Formation energy: -6.90 kcal/mol of atoms
# D(E_F): 1.231 states/eV per atom
# Symmetry: P4/mmm (123)
data_Pr4NdZn5
_chemical_formula_sum 'Pr4 Nd1 Zn5'
_space_group_name_H-M_alt 'P 1'
_space_group_IT_number 1
_cell_length_a 3.7142
_cell_length_b 3.7142
_cell_length_c 18.5700
_cell_angle_alpha 90.00
_cell_angle_beta 90.00
_cell_angle_gamma 90.00
loop_
_space_group_symop_operation_xyz
'x,y,z'
loop_
_atom_site_label
_atom_site_type_symbol
_atom_site_fract_x
_atom_site_fract_y
_atom_site_fract_z
Zn1 Zn 0.5000 0.5000 0.9020
Zn2 Zn 0.5000 0.5000 0.7004
Zn3 Zn 0.5000 0.5000 0.0980
Zn4 Zn 0.5000 0.5000 0.2996
Zn5 Zn 0.5000 0.5000 0.5000
Pr1 Pr 0.0000 0.0000 0.3997
Pr2 Pr 0.0000 0.0000 0.8010
Pr3 Pr 0.0000 0.0000 0.6003
Pr4 Pr 0.0000 0.0000 0.1990
Nd1 Nd 0.0000 0.0000 0.0000

---

# Pr6Ge3Bi, relaxed, DFT PBE
# Formation energy: -13.73 kcal/mol of atoms
# D(E_F): 0.718 states/eV per atom
# Symmetry: Cmc2_1 (36)
data_Pr6Ge3Bi
_chemical_formula_sum 'Pr12 Ge6 Bi2'
_space_group_name_H-M_alt 'P 1'
_space_group_IT_number 1
_cell_length_a 7.8837
_cell_length_b 9.2539
_cell_length_c 9.2539
_cell_angle_alpha 106.33
_cell_angle_beta 90.00
_cell_angle_gamma 90.00
loop_
_space_group_symop_operation_xyz
'x,y,z'
loop_
_atom_site_label
_atom_site_type_symbol
_atom_site_fract_x
_atom_site_fract_y
_atom_site_fract_z
Pr1 Pr 0.6437 0.2799 0.3579
Pr2 Pr 0.7500 0.5272 0.0909
Pr3 Pr 0.2731 0.0078 0.9922
Pr4 Pr 0.7731 0.9922 0.0078
Pr5 Pr 0.1437 0.3579 0.2799
Pr6 Pr 0.6437 0.6421 0.7201
Pr7 Pr 0.6127 0.2473 0.7527
Pr8 Pr 0.7500 0.9091 0.4728
Pr9 Pr 0.1127 0.7527 0.2473
Pr10 Pr 0.2500 0.0909 0.5272
Pr11 Pr 0.1437 0.7201 0.6421
Pr12 Pr 0.2500 0.4728 0.9091
Ge1 Ge 0.9761 0.0742 0.2918
Ge2 Ge 0.8627 0.5819 0.4181
Ge3 Ge 0.9761 0.7082 0.9258
Ge4 Ge 0.4761 0.2918 0.0742
Ge5 Ge 0.3627 0.4181 0.5819
Ge6 Ge 0.4761 0.9258 0.7082
Bi1 Bi 0.9973 0.1750 0.8250
Bi2 Bi 0.4973 0.8250 0.1750

---

# La4NdN4, relaxed, DFT PBE
# Energy above the most stable polymorph in this dataset: 0.000 eV per atom
# D(E_F): 0.402 states/eV per atom
# Formation energy without anion corrections: -1.214 eV/atom
# Symmetry: C2/m (12)
data_La4NdN4
_chemical_formula_sum 'La4 Nd1 N4'
_space_group_name_H-M_alt 'P 1'
_space_group_IT_number 1
_cell_length_a 3.7094
_cell_length_b 6.4742
_cell_length_c 8.3672
_cell_angle_alpha 76.06
_cell_angle_beta 77.19
_cell_angle_gamma 73.35
loop_
_space_group_symop_operation_xyz
'x,y,z'
loop_
_atom_site_label
_atom_site_type_symbol
_atom_site_fract_x
_atom_site_fract_y
_atom_site_fract_z
La1 La 0.1054 0.1708 0.6184
La2 La 0.8946 0.8292 0.3816
La3 La 0.7055 0.4020 0.1870
La4 La 0.2945 0.5980 0.8130
Nd1 Nd 0.5000 0.0000 0.0000
N1 N 0.1049 0.6986 0.0917
N2 N 0.8951 0.3014 0.9083
N3 N 0.6940 0.9159 0.6961
N4 N 0.3060 0.0841 0.3039

---

# Y2CoAu, relaxed, DFT PBE
# Formation energy: -5.92 kcal/mol of atoms
# D(E_F): 0.750 states/eV per atom
# Symmetry: P4mm (99)
data_Y2CoAu
_chemical_formula_sum 'Y2 Co1 Au1'
_space_group_name_H-M_alt 'P 1'
_space_group_IT_number 1
_cell_length_a 3.9478
_cell_length_b 3.9478
_cell_length_c 5.9871
_cell_angle_alpha 90.00
_cell_angle_beta 90.00
_cell_angle_gamma 90.00
loop_
_space_group_symop_operation_xyz
'x,y,z'
loop_
_atom_site_label
_atom_site_type_symbol
_atom_site_fract_x
_atom_site_fract_y
_atom_site_fract_z
Y1 Y 0.5000 0.5000 0.3034
Y2 Y 0.0000 0.0000 0.9202
Co1 Co 0.5000 0.5000 0.8331
Au1 Au 0.0000 0.0000 0.4432

---

# Sc3Ga7Co2, relaxed, DFT PBE
# Energy above the most stable polymorph in this dataset: 0.000 eV per atom
# Formation energy: -11.01 kcal/mol of atoms
# D(E_F): 0.637 states/eV per atom
# Symmetry: P2/m (10)
data_Sc3Ga7Co2
_chemical_formula_sum 'Sc3 Ga7 Co2'
_space_group_name_H-M_alt 'P 1'
_space_group_IT_number 1
_cell_length_a 3.9659
_cell_length_b 4.0216
_cell_length_c 12.9083
_cell_angle_alpha 98.93
_cell_angle_beta 90.00
_cell_angle_gamma 90.00
loop_
_space_group_symop_operation_xyz
'x,y,z'
loop_
_atom_site_label
_atom_site_type_symbol
_atom_site_fract_x
_atom_site_fract_y
_atom_site_fract_z
Ga1 Ga 0.0000 0.5816 0.1661
Ga2 Ga 0.5000 0.7217 0.4427
Ga3 Ga 0.5000 0.9179 0.8326
Ga4 Ga 0.5000 0.0821 0.1674
Ga5 Ga 0.0000 0.4184 0.8339
Ga6 Ga 0.5000 0.2783 0.5573
Ga7 Ga 0.0000 0.0000 0.0000
Co1 Co 0.5000 0.6292 0.2624
Co2 Co 0.5000 0.3708 0.7376
Sc1 Sc 0.0000 0.1802 0.3588
Sc2 Sc 0.0000 0.8198 0.6412
Sc3 Sc 0.5000 0.5000 0.0000

---

# AlCdGa4, relaxed, DFT PBE
# Energy above the most stable polymorph in this dataset: 0.000 eV per atom
# Formation energy: 1.45 kcal/mol of atoms
# D(E_F): 0.380 states/eV per atom
# Symmetry: Cmc2_1 (36)
data_AlCdGa4
_chemical_formula_sum 'Al2 Cd2 Ga8'
_space_group_name_H-M_alt 'P 1'
_space_group_IT_number 1
_cell_length_a 3.1424
_cell_length_b 7.6305
_cell_length_c 9.8046
_cell_angle_alpha 90.00
_cell_angle_beta 90.00
_cell_angle_gamma 101.88
loop_
_space_group_symop_operation_xyz
'x,y,z'
loop_
_atom_site_label
_atom_site_type_symbol
_atom_site_fract_x
_atom_site_fract_y
_atom_site_fract_z
Ga1 Ga 0.6698 0.3395 0.2750
Ga2 Ga 0.9956 0.9911 0.7687
Ga3 Ga 0.0044 0.0089 0.2687
Ga4 Ga 0.1140 0.2280 0.5221
Ga5 Ga 0.3302 0.6605 0.7750
Ga6 Ga 0.5440 0.0880 0.0152
Ga7 Ga 0.4560 0.9120 0.5152
Ga8 Ga 0.8860 0.7720 0.0221
Cd1 Cd 0.2123 0.4246 0.0181
Cd2 Cd 0.7877 0.5754 0.5181
Al1 Al 0.6590 0.3180 0.7620
Al2 Al 0.3410 0.6820 0.2620

---

# KTl2Os, relaxed, DFT PBE
# Energy above the most stable polymorph in this dataset: 0.453 eV per atom
# Formation energy: 23.16 kcal/mol of atoms
# D(E_F): 0.762 states/eV per atom
# Symmetry: C2/m (12)
data_KTl2Os
_chemical_formula_sum 'K1 Tl2 Os1'
_space_group_name_H-M_alt 'P 1'
_space_group_IT_number 1
_cell_length_a 6.3541
_cell_length_b 6.2512
_cell_length_c 2.9209
_cell_angle_alpha 78.94
_cell_angle_beta 85.27
_cell_angle_gamma 119.27
loop_
_space_group_symop_operation_xyz
'x,y,z'
loop_
_atom_site_label
_atom_site_type_symbol
_atom_site_fract_x
_atom_site_fract_y
_atom_site_fract_z
Os1 Os 0.5000 0.5000 0.0000
K1 K 0.0000 0.5000 0.5000
Tl1 Tl 0.0000 0.0000 0.0000
Tl2 Tl 0.5000 0.0000 0.5000

---

What did the first record say?
# Rb2CrBiBr6, relaxed, DFT PBE
# D(E_F): 0.138 states/eV per atom
# Formation energy without anion corrections: -1.030 eV/atom
# Symmetry: I4/mmm (139)
data_Rb2CrBiBr6
_chemical_formula_sum 'Rb2 Cr1 Bi1 Br6'
_space_group_name_H-M_alt 'P 1'
_space_group_IT_number 1
_cell_length_a 7.9531
_cell_length_b 7.9531
_cell_length_c 7.9665
_cell_angle_alpha 60.06
_cell_angle_beta 60.06
_cell_angle_gamma 90.00
loop_
_space_group_symop_operation_xyz
'x,y,z'
loop_
_atom_site_label
_atom_site_type_symbol
_atom_site_fract_x
_atom_site_fract_y
_atom_site_fract_z
Br1 Br 0.7385 0.7385 0.0000
Br2 Br 0.7393 0.7393 0.5214
Br3 Br 0.7385 0.2615 0.0000
Br4 Br 0.2607 0.2607 0.4786
Br5 Br 0.2615 0.7385 0.0000
Br6 Br 0.2615 0.2615 0.0000
Bi1 Bi 0.0000 0.0000 0.0000
Cr1 Cr 0.5000 0.5000 0.0000
Rb1 Rb 0.7500 0.2500 0.5000
Rb2 Rb 0.2500 0.7500 0.5000

---

- The lowest D(E_F) belongs to which entry?
  Rb2CrBiBr6

---

- Number 4 is which compound?
  La4NdN4